a.
DFT (PBE) results for CaLa after structural relaxation.

- DOS at the Fermi energy (states/eV per cell) = 4.04
- total moment (μB/f.u.) = 0.0

Cell: 6.725 6.725 6.725 Å, 32.49 32.49 32.49°
Positions (direct):
Ca  0.000  0.000  0.000
La  0.500  0.500  0.500



b.
DFT (PBE) results for CaLa after structural relaxation.

- DOS at the Fermi energy (states/eV per cell) = 10.54
- total moment (μB/f.u.) = 0.0

Cell: 7.597 7.597 7.597 Å, 60.00 60.00 60.00°
Positions (direct):
Ca  0.000  0.000  0.000
Ca  0.000  0.000  0.500
Ca  0.000  0.500  0.000
Ca  0.500  0.000  0.000
La  0.000  0.500  0.500
La  0.500  0.000  0.500
La  0.500  0.500  0.000
La  0.500  0.500  0.500



c.
DFT (PBE) results for CaLa after structural relaxation.

- DOS at the Fermi energy (states/eV per cell) = 6.58
- total moment (μB/f.u.) = 0.0

Cell: 3.785 6.051 6.772 Å, 90.00 90.00 90.00°
Positions (direct):
Ca  0.250  0.250  0.087
Ca  0.750  0.750  0.913
La  0.250  0.750  0.426
La  0.750  0.250  0.574



Most favorable structure: c. The second most favorable one is 5 meV/atom above it.



a.
DFT (PBE) results for CaLa after structural relaxation.

- DOS at the Fermi energy (states/eV per cell) = 24.15
- total moment (μB/f.u.) = 0.0

Cell: 13.430 13.430 3.523 Å, 90.00 90.00 90.00°
Positions (direct):
Ca  0.106  0.647  0.000
Ca  0.149  0.392  0.500
Ca  0.353  0.106  0.000
Ca  0.392  0.851  0.500
Ca  0.608  0.149  0.500
Ca  0.647  0.894  0.000
Ca  0.851  0.608  0.500
Ca  0.894  0.353  0.000
La  0.080  0.143  0.000
La  0.143  0.920  0.000
La  0.356  0.579  0.500
La  0.421  0.356  0.500
La  0.579  0.644  0.500
La  0.644  0.421  0.500
La  0.857  0.080  0.000
La  0.920  0.857  0.000



b.
DFT (PBE) results for CaLa after structural relaxation.

- DOS at the Fermi energy (states/eV per cell) = 12.66
- total moment (μB/f.u.) = 0.0

Cell: 8.351 8.093 6.986 Å, 66.78 62.96 50.25°
Positions (direct):
Ca  0.049  0.701  0.049
Ca  0.299  0.951  0.299
Ca  0.701  0.049  0.701
Ca  0.951  0.299  0.951
La  0.219  0.531  0.531
La  0.469  0.781  0.781
La  0.531  0.219  0.219
La  0.781  0.469  0.469



c.
DFT (PBE) results for CaLa after structural relaxation.

- DOS at the Fermi energy (states/eV per cell) = 19.62
- total moment (μB/f.u.) = 0.0

Cell: 12.373 12.373 3.657 Å, 90.00 90.00 120.00°
Positions (direct):
Ca  0.142  0.522  0.250
Ca  0.380  0.858  0.250
Ca  0.478  0.620  0.250
Ca  0.522  0.380  0.750
Ca  0.620  0.142  0.750
Ca  0.858  0.478  0.750
La  0.052  0.793  0.250
La  0.207  0.259  0.250
La  0.259  0.052  0.750
La  0.741  0.948  0.250
La  0.793  0.741  0.750
La  0.948  0.207  0.750



Most favorable structure: c. The second most favorable one is 40 meV/atom above it.



a.
DFT (PBE) results for CaLa after structural relaxation.

- DOS at the Fermi energy (states/eV per cell) = 6.71
- total moment (μB/f.u.) = 0.0

Cell: 6.142 3.878 6.654 Å, 90.00 90.00 90.00°
Positions (direct):
Ca  0.250  0.000  0.174
Ca  0.750  0.000  0.826
La  0.250  0.500  0.660
La  0.750  0.500  0.340



b.
DFT (PBE) results for CaLa after structural relaxation.

- DOS at the Fermi energy (states/eV per cell) = 5.83
- total moment (μB/f.u.) = 0.0

Cell: 3.814 3.814 12.666 Å, 90.00 90.00 120.00°
Positions (direct):
Ca  0.333  0.667  0.129
Ca  0.667  0.333  0.871
La  0.333  0.667  0.614
La  0.667  0.333  0.386



c.
DFT (PBE) results for CaLa after structural relaxation.

- DOS at the Fermi energy (states/eV per cell) = 2.86
- total moment (μB/f.u.) = 0.0

Cell: 3.766 3.766 6.321 Å, 90.00 90.00 120.00°
Positions (direct):
Ca  0.000  0.000  0.000
La  0.333  0.667  0.500



d.
DFT (PBE) results for CaLa after structural relaxation.

- DOS at the Fermi energy (states/eV per cell) = 34.28
- total moment (μB/f.u.) = 2.2

Cell: 9.872 9.872 9.872 Å, 90.00 90.00 90.00°
Positions (direct):
Ca  0.000  0.250  0.500
Ca  0.000  0.750  0.500
Ca  0.250  0.500  0.000
Ca  0.500  0.000  0.250
Ca  0.500  0.000  0.750
Ca  0.750  0.500  0.000
La  0.000  0.500  0.250
La  0.000  0.500  0.750
La  0.250  0.000  0.500
La  0.500  0.250  0.000
La  0.500  0.750  0.000
La  0.750  0.000  0.500



Most favorable structure: b. The second most favorable one is 31 meV/atom above it.



a.
DFT (PBE) results for CaLa after structural relaxation.

- DOS at the Fermi energy (states/eV per cell) = 11.11
- total moment (μB/f.u.) = 0.0

Cell: 9.475 9.475 9.475 Å, 92.30 92.30 156.90°
Positions (direct):
Ca  0.127  0.833  0.961
Ca  0.167  0.127  0.294
Ca  0.833  0.873  0.706
Ca  0.873  0.167  0.039
La  0.147  0.555  0.702
La  0.445  0.147  0.592
La  0.555  0.853  0.408
La  0.853  0.445  0.298



b.
DFT (PBE) results for CaLa after structural relaxation.

- DOS at the Fermi energy (states/eV per cell) = 7.28
- total moment (μB/f.u.) = 0.0

Cell: 6.867 6.867 6.845 Å, 90.00 90.00 90.00°
Positions (direct):
Ca  0.174  0.174  0.000
Ca  0.326  0.674  0.500
Ca  0.674  0.326  0.500
Ca  0.826  0.826  0.000
La  0.152  0.152  0.500
La  0.348  0.652  0.000
La  0.652  0.348  0.000
La  0.848  0.848  0.500



c.
DFT (PBE) results for CaLa after structural relaxation.

- DOS at the Fermi energy (states/eV per cell) = 4.91
- total moment (μB/f.u.) = 0.0

Cell: 3.797 3.797 10.966 Å, 90.00 90.00 90.00°
Positions (direct):
Ca  0.250  0.250  0.131
Ca  0.750  0.750  0.869
La  0.250  0.250  0.612
La  0.750  0.750  0.388



Most favorable structure: c. The second most favorable one is 100 meV/atom above it.